Entry 1:
ScCrAu4, single point on PBEsol structure, DFT SCAN; theoretical density = 13.42 g/cm3; electronic total energy = -51.866 eV/atom; Fermi-level density of states = 3.1 states/eV per cell; V = 18.24 Å³ per atom; total moment = 4.9 μB per cell; symmetry = No. 216
1.0
5.369 0.000 0.000
2.685 4.650 0.000
2.685 1.550 4.384
Au Sc Cr
4 1 1
Direct
0.375 0.375 0.875
0.375 0.875 0.375
0.375 0.375 0.375
0.875 0.375 0.375
0.000 0.000 0.000
0.750 0.750 0.750

Entry 2:
LaMgCr2, single point on PBEsol structure, DFT SCAN; theoretical density = 5.62 g/cm3; electronic total energy = -20.484 eV/atom; Fermi-level density of states = 4.9 states/eV per cell; V = 19.72 Å³ per atom; total moment = 0.0 μB per cell; symmetry = No. 123
1.0
-2.077 -1.529 -2.372
-2.067 -1.180 2.571
-3.523 5.361 -0.371
La Cr Mg
1 2 1
Direct
0.500 0.500 0.000
0.000 0.000 0.351
0.000 0.000 0.649
0.500 0.500 0.500

Entry 3:
Ta3OsCl, single point on PBEsol structure, DFT SCAN; theoretical density = 14.89 g/cm3; raw formation energy = 1.117 eV per atom; Fermi-level density of states = 5.4 states/eV per cell; V = 17.14 Å³ per atom; total moment = 0.0 μB per cell; symmetry = No. 221
1.0
4.409 0.000 0.000
0.000 4.409 0.000
0.000 0.000 4.409
Ta Os Cl
3 1 1
Direct
0.000 0.500 0.000
0.000 0.000 0.500
0.500 0.000 0.000
0.500 0.500 0.500
0.000 0.000 0.000